Compound: TcMoF
Source: the Alexandria database
Functional: PBE with a Hubbard U
Structure: relaxed

```
TcMoF
1.0
3.228 0.000 0.000
-1.614 2.795 0.000
0.000 0.000 17.280
F Mo Tc
3 3 3
Direct
0.667 0.333 0.550
0.333 0.667 0.883
0.000 0.000 0.216
0.000 0.000 0.338
0.667 0.333 0.672
0.333 0.667 0.005
0.000 0.000 0.094
0.333 0.667 0.760
0.667 0.333 0.427
```

Calculated values
- M_tot: 0.00 μB per formula unit
- Space group: R3m (160)
- Energy relative to the lowest polymorph listed for this composition: 71 meV per atom